Ca2ScCd2 after structural relaxation. Source: Alexandria, functional GGA-PBE.

Computed properties:
final energy: -11.55 eV per formula unit
ΔE_f: 0.6 eV per formula unit
polymorph energy (0 for the lowest one): 274 meV/atom

a b c (Å): 4.643 4.643 13.941
angles (deg): 90.00 90.00 90.00
Space group I4/mmm (No. 139)
Asymmetric unit:
1 Ca 0.000 0.500 0.250 [4 per cell]
2 Sc 0.000 0.000 0.000 [2 per cell]
3 Cd 0.000 0.000 0.404 [4 per cell]

***

CaScCd after structural relaxation. Source: Alexandria, functional GGA-PBE.

Computed properties:
final energy: -8.85 eV per formula unit
ΔE_f: 0.4 eV per formula unit
polymorph energy (0 for the lowest one): 268 meV/atom

a b c (Å): 7.195 7.195 7.195
angles (deg): 90.00 90.00 90.00
Space group F-43m (No. 216)
Asymmetric unit:
1 Ca 0.000 0.000 0.000 [4 per cell]
2 Sc 0.000 0.000 0.500 [4 per cell]
3 Cd 0.250 0.250 0.250 [4 per cell]

***

Ca2ScCd3 after structural relaxation. Source: Alexandria, functional GGA-PBE.

Computed properties:
final energy: -14.98 eV per formula unit
ΔE_f: -1.9 eV per formula unit

a b c (Å): 5.257 15.762 7.498
angles (deg): 90.00 90.00 90.00
Space group Cmmm (No. 65)
Asymmetric unit:
1 Ca 0.000 0.000 0.000 [2 per cell]
2 Ca 0.000 0.000 0.500 [2 per cell]
3 Ca 0.000 0.335 0.000 [4 per cell]
4 Sc 0.000 0.333 0.500 [4 per cell]
5 Cd 0.000 0.173 0.275 [8 per cell]
6 Cd 0.000 0.500 0.268 [4 per cell]

***

> Which of these has the highest ΔE_f?

Ca2ScCd2

***

> Which of these has the lowest final energy?

Ca2ScCd3